# 1
Computed, not measured: an optimized crystal structure of MnZnRe2Hg at the PBE-GGA level of DFT.

Computed properties:
- E_form: 1.34 eV/atom
- Density of states at the Fermi level: 6.20 states/eV per cell
- Total magnetic moment: 0.8 μB per formula unit
- SG: P4/mmm (123)

a = 4.448 Å, b = 4.448 Å, c = 4.598 Å
α = 90.00°, β = 90.00°, γ = 90.00°
Fractional positions:
Mn (0.000, 0.000, 0.000)
Zn (0.000, 0.000, 0.500)
Re (0.000, 0.500, 0.000)
Re (0.500, 0.000, 0.000)
Hg (0.500, 0.500, 0.500)

# 2
Computed, not measured: an optimized crystal structure of Mn3HgRh at the PBE-GGA level of DFT.

Computed properties:
- E_form: 0.79 eV/atom
- Energy above the lowest structure with this stoichiometry: 0.000 eV/atom
- Density of states at the Fermi level: 3.43 states/eV per cell
- Total magnetic moment: 13.6 μB per formula unit
- SG: Pm-3m (221)

a = 4.834 Å, b = 4.834 Å, c = 4.834 Å
α = 90.00°, β = 90.00°, γ = 90.00°
Fractional positions:
Mn (0.000, 0.000, 0.500)
Mn (0.000, 0.500, 0.000)
Mn (0.500, 0.000, 0.000)
Hg (0.500, 0.500, 0.500)
Rh (0.000, 0.000, 0.000)

# 3
Computed, not measured: an optimized crystal structure of Mn4HgRh at the PBE-GGA level of DFT.

Computed properties:
- E_form: 0.32 eV/atom
- Density of states at the Fermi level: 7.24 states/eV per cell
- Total magnetic moment: 7.0 μB per formula unit
- SG: F-43m (216)

a = 4.842 Å, b = 4.842 Å, c = 4.842 Å
α = 60.00°, β = 60.00°, γ = 60.00°
Fractional positions:
Mn (0.125, 0.125, 0.125)
Mn (0.125, 0.125, 0.625)
Mn (0.125, 0.625, 0.125)
Mn (0.625, 0.125, 0.125)
Hg (0.500, 0.500, 0.500)
Rh (0.750, 0.750, 0.750)

# 4
Computed, not measured: an optimized crystal structure of MnHgRh2 at the PBE-GGA level of DFT.

Computed properties:
- E_form: -0.03 eV/atom
- Density of states at the Fermi level: 3.98 states/eV per cell
- Total magnetic moment: 3.5 μB per formula unit
- SG: P4/mmm (123)

a = 3.008 Å, b = 3.008 Å, c = 6.900 Å
α = 90.00°, β = 90.00°, γ = 90.00°
Fractional positions:
Mn (0.000, 0.000, 0.000)
Hg (0.000, 0.000, 0.500)
Rh (0.500, 0.500, 0.211)
Rh (0.500, 0.500, 0.789)

# 5
Computed, not measured: an optimized crystal structure of MnHgRh2 at the PBE-GGA level of DFT.

Computed properties:
- E_form: 0.09 eV/atom
- Density of states at the Fermi level: 3.82 states/eV per cell
- Total magnetic moment: 4.3 μB per formula unit
- SG: C2/m (12)

a = 4.791 Å, b = 4.791 Å, c = 4.902 Å
α = 103.00°, β = 103.00°, γ = 35.22°
Fractional positions:
Mn (0.000, 0.000, 0.000)
Hg (0.500, 0.500, 0.500)
Rh (0.262, 0.262, 0.769)
Rh (0.738, 0.738, 0.231)

# 6
Computed, not measured: an optimized crystal structure of Mn2HgRh2 at the PBE-GGA level of DFT.

Computed properties:
- E_form: 0.11 eV/atom
- Energy above the lowest structure with this stoichiometry: 0.055 eV/atom
- Density of states at the Fermi level: 6.83 states/eV per cell
- Total magnetic moment: 7.8 μB per formula unit
- SG: P4/mbm (127)

a = 7.407 Å, b = 7.407 Å, c = 2.897 Å
α = 90.00°, β = 90.00°, γ = 90.00°
Fractional positions:
Mn (0.141, 0.359, 0.000)
Mn (0.359, 0.859, 0.000)
Mn (0.641, 0.141, 0.000)
Mn (0.859, 0.641, 0.000)
Hg (0.000, 0.000, 0.000)
Hg (0.500, 0.500, 0.000)
Rh (0.152, 0.652, 0.500)
Rh (0.348, 0.152, 0.500)
Rh (0.652, 0.848, 0.500)
Rh (0.848, 0.348, 0.500)

# 7
Computed, not measured: an optimized crystal structure of MnHgRh2 at the PBE-GGA level of DFT.

Computed properties:
- E_form: 0.22 eV/atom
- Density of states at the Fermi level: 6.38 states/eV per cell
- Total magnetic moment: 5.3 μB per formula unit
- SG: F-43m (216)

a = 4.501 Å, b = 4.501 Å, c = 4.501 Å
α = 60.00°, β = 60.00°, γ = 60.00°
Fractional positions:
Mn (0.000, 0.000, 0.000)
Hg (0.750, 0.750, 0.750)
Rh (0.250, 0.250, 0.250)
Rh (0.500, 0.500, 0.500)

# 8
Computed, not measured: an optimized crystal structure of MnHgRh2 at the PBE-GGA level of DFT.

Computed properties:
- E_form: 0.08 eV/atom
- Density of states at the Fermi level: 4.39 states/eV per cell
- Total magnetic moment: 3.3 μB per formula unit
- SG: R-3m (166)

a = 8.814 Å, b = 8.814 Å, c = 8.814 Å
α = 18.97°, β = 18.97°, γ = 18.97°
Fractional positions:
Mn (0.000, 0.000, 0.000)
Hg (0.500, 0.500, 0.500)
Rh (0.260, 0.260, 0.260)
Rh (0.740, 0.740, 0.740)

Which value of E_form does entry 1 give?
1.34 eV/atom